Below is a PBEsol-optimized structure of BeOs2Ru, with properties calculated at the SCAN level.

Computed properties:
For the total magnetization, the calculation gives 0.00 μB per formula unit. The calculation puts the total energy at -45.5644 eV/atom. The energy of formation from the pure elements comes out at 171 meV per atom.

abc: 3.6359 3.6359 4.6445
angles: 113.04 113.04 90.00
Closest atoms and distances in Å follow each position.
Sites, in units of the cell vectors:
Ru: 0.5000 0.5000 0.0000  8 Os 2.57-2.65, 4 Be 2.65
Os: 0.0000 0.0000 0.0000  4 Ru 2.57, 4 Be 2.65, 4 Os 2.65
Os: 0.7500 0.2500 0.5000  4 Be 2.57, 4 Os 2.65, 4 Ru 2.65
Be: 0.2500 0.7500 0.5000  8 Os 2.57-2.65, 4 Ru 2.65


Below is a PBEsol-optimized structure of Mn2MoSe, with properties calculated at the SCAN level.

Computed properties:
For the total magnetization, the calculation gives 5.37 μB per formula unit. The calculation puts the total energy at -22.7867 eV/atom. As for the formation energy from raw total energies: 81.8 meV/atom.

abc: 2.9931 4.4230 4.4230
angles: 109.93 90.00 90.00
Closest atoms and distances in Å follow each position.
Sites, in units of the cell vectors:
Mn: 0.0000 0.5000 0.0000  2 Mn 2.54, 4 Mo 2.67, 4 Se 2.67
Mn: 0.0000 0.0000 0.5000  2 Mn 2.54, 4 Se 2.67, 4 Mo 2.67
Mo: 0.5000 0.0000 0.0000  2 Se 2.54, 8 Mn 2.67
Se: 0.5000 0.5000 0.5000  2 Mo 2.54, 8 Mn 2.67


Below is a PBEsol-optimized structure of BeCrTe2, with properties calculated at the SCAN level.

Computed properties:
For the total magnetization, the calculation gives 3.75 μB per formula unit. The calculation puts the total energy at -23.9103 eV/atom. As for the formation energy from raw total energies: 399.8 meV/atom.

abc: 3.3720 4.7708 4.7708
angles: 90.00 90.00 90.00
Closest atoms and distances in Å follow each position.
Sites, in units of the cell vectors:
Cr: 0.5000 0.0000 0.0000  8 Te 2.92
Te: 0.0000 0.0000 0.5000  4 Be 2.92, 4 Cr 2.92
Te: 0.0000 0.5000 0.0000  4 Be 2.92, 4 Cr 2.92
Be: 0.5000 0.5000 0.5000  8 Te 2.92


Below is a PBEsol-optimized structure of YAlTc2, with properties calculated at the SCAN level.

Computed properties:
For the total magnetization, the calculation gives 0.00 μB per formula unit. The calculation puts the total energy at -26.3094 eV/atom. The energy of formation from the pure elements comes out at 119 meV per atom.

abc: 2.7965 5.2827 5.2827
angles: 113.80 102.09 102.09
Closest atoms and distances in Å follow each position.
Sites, in units of the cell vectors:
Y: 0.5000 0.0000 0.0000  4 Tc 2.72, 2 Y 2.80, 2 Al 2.89
Tc: 0.0000 0.5000 0.0000  2 Y 2.72, 2 Al 2.72, 4 Tc 2.80-2.89
Tc: 0.0000 0.0000 0.5000  2 Al 2.72, 2 Y 2.72, 4 Tc 2.80-2.89
Al: 0.5000 0.5000 0.5000  4 Tc 2.72, 2 Al 2.80, 2 Y 2.89


Below is a PBEsol-optimized structure of PtPb2, with properties calculated at the SCAN level.

Computed properties:
For the total magnetization, the calculation gives 0.00 μB per formula unit. The calculation puts the total energy at -73.9969 eV/atom. The energy of formation from the pure elements comes out at -78 meV per atom.

abc: 4.7431 4.8659 6.6889
angles: 111.33 90.00 90.00
Closest atoms and distances in Å follow each position.
Sites, in units of the cell vectors:
Pb: 0.2500 0.4055 0.2713  4 Pt 2.87-3.06
Pb: 0.7500 0.5945 0.7287  4 Pt 2.87-3.06
Pb: 0.2500 0.1342 0.7287  4 Pt 2.87-3.06
Pb: 0.7500 0.8658 0.2713  4 Pt 2.87-3.06
Pt: 0.2500 0.7934 0.0000  8 Pb 2.87-3.06, 2 Pt 3.11
Pt: 0.7500 0.2066 0.0000  8 Pb 2.87-3.06, 2 Pt 3.11


Below is a PBEsol-optimized structure of RbCa2LaBi, with properties calculated at the SCAN level.

Computed properties:
For the total magnetization, the calculation gives 0.49 μB per formula unit. The calculation puts the total energy at -32.1061 eV/atom. The energy of formation from the pure elements comes out at 244 meV per atom.

abc: 6.1990 6.3697 6.3697
angles: 90.00 90.00 90.00
Closest atoms and distances in Å follow each position.
Sites, in units of the cell vectors:
Ca: 0.0000 0.0000 0.5000  2 La 3.18
Ca: 0.0000 0.5000 0.0000  2 La 3.18
Bi: 0.5000 0.0000 0.0000  2 La 3.10
Rb: 0.5000 0.5000 0.5000  8 Ca 4.44, 4 Bi 4.50
La: 0.0000 0.0000 0.0000  2 Bi 3.10, 4 Ca 3.18


Below is a PBEsol-optimized structure of MgS2I, with properties calculated at the SCAN level.

Computed properties:
For the total magnetization, the calculation gives 0.00 μB per formula unit. The calculation puts the total energy at -15.8254 eV/atom. As for the formation energy from raw total energies: -582.5 meV/atom.

abc: 3.7826 3.7826 8.0755
angles: 76.46 76.46 60.00
Closest atoms and distances in Å follow each position.
Sites, in units of the cell vectors:
I: 0.0000 0.0000 0.0000  2 S 2.54
S: 0.8911 0.8911 0.3266  1 I 2.54, 3 Mg 2.57
S: 0.1089 0.1089 0.6734  1 I 2.54, 3 Mg 2.57
Mg: 0.5000 0.5000 0.5000  6 S 2.57


Below is a PBEsol-optimized structure of ZrBeIr, with properties calculated at the SCAN level.

Computed properties:
For the energy above the lowest structure with this stoichiometry, the calculation gives 0.0 meV/atom. For the total magnetization, the calculation gives 0.00 μB per formula unit. The calculation puts the total energy at -36.1607 eV/atom. The energy of formation from the pure elements comes out at -777 meV per atom.

abc: 3.1006 4.0829 4.0829
angles: 120.00 90.00 90.00
Closest atoms and distances in Å follow each position.
Sites, in units of the cell vectors:
Be: 0.0000 0.0000 0.0000  3 Ir 2.36
Ir: 0.0000 0.6667 0.3333  3 Be 2.36
Zr: 0.5000 0.3333 0.6667  6 Ir 2.82, 6 Be 2.82, 2 Zr 3.10


Below is a PBEsol-optimized structure of Co2AgCl, with properties calculated at the SCAN level.

Computed properties:
For the energy above the lowest structure with this stoichiometry, the calculation gives 165.0 meV/atom. For the total magnetization, the calculation gives 3.86 μB per formula unit. The calculation puts the total energy at -17.8029 eV/atom. As for the formation energy from raw total energies: 685.5 meV/atom.

abc: 3.8605 3.8605 4.6437
angles: 114.56 114.56 90.00
Closest atoms and distances in Å follow each position.
Sites, in units of the cell vectors:
Co: 0.0000 0.0000 0.0000  4 Cl 2.69, 4 Co 2.69, 4 Ag 2.73
Co: 0.7500 0.2500 0.5000  4 Co 2.69, 4 Ag 2.69, 4 Cl 2.73
Ag: 0.5000 0.5000 0.0000  4 Cl 2.69, 8 Co 2.69-2.73
Cl: 0.2500 0.7500 0.5000  8 Co 2.69-2.73, 4 Ag 2.69


Below is a PBEsol-optimized structure of ScSb2, with properties calculated at the SCAN level.

Computed properties:
For the total magnetization, the calculation gives 0.38 μB per formula unit. The calculation puts the total energy at -29.7842 eV/atom. As for the formation energy from raw total energies: -198.1 meV/atom.

abc: 3.2305 5.0690 5.0690
angles: 120.00 90.00 90.00
Closest atoms and distances in Å follow each position.
Sites, in units of the cell vectors:
Sc: 0.0000 0.0000 0.0000  6 Sb 3.08, 2 Sc 3.23
Sb: 0.7071 0.3333 0.6667  3 Sc 3.08, 5 Sb 3.22-3.23
Sb: 0.2929 0.6667 0.3333  3 Sc 3.08, 5 Sb 3.22-3.23


Below is a PBEsol-optimized structure of YCdRu2, with properties calculated at the SCAN level.

Computed properties:
For the total magnetization, the calculation gives 0.00 μB per formula unit. The calculation puts the total energy at -31.6244 eV/atom. The energy of formation from the pure elements comes out at 353 meV per atom.

abc: 2.9166 2.9166 8.7528
angles: 90.00 90.00 112.30
Closest atoms and distances in Å follow each position.
Sites, in units of the cell vectors:
Cd: 0.5000 0.5000 0.0000  4 Ru 2.75, 4 Cd 2.92
Ru: 0.0000 0.0000 0.2531  2 Y 2.70, 2 Cd 2.75, 4 Ru 2.92
Ru: 0.0000 0.0000 0.7469  2 Y 2.70, 2 Cd 2.75, 4 Ru 2.92
Y: 0.5000 0.5000 0.5000  4 Ru 2.70, 4 Y 2.92


Below is a PBEsol-optimized structure of TcTeBr4, with properties calculated at the SCAN level.

Computed properties:
For the total magnetization, the calculation gives 4.90 μB per formula unit. The calculation puts the total energy at -23.9208 eV/atom. As for the formation energy from raw total energies: 1104.0 meV/atom.

abc: 5.9934 5.9934 5.9934
angles: 60.00 60.00 60.00
Closest atoms and distances in Å follow each position.
Sites, in units of the cell vectors:
Te: 0.0000 0.0000 0.0000  12 Br 3.52, 4 Tc 3.67
Tc: 0.7500 0.7500 0.7500  12 Br 3.51, 4 Te 3.67
Br: 0.3755 0.3755 0.3755  6 Br 2.98-3.01
Br: 0.3755 0.3755 0.8734  6 Br 2.98-3.01
Br: 0.8734 0.3755 0.3755  6 Br 2.98-3.01
Br: 0.3755 0.8734 0.3755  6 Br 2.98-3.01


Which of these has the highest total magnetization?
Mn2MoSe